Material: Ni2SnPIr
Method: DFT, GGA-PBE
State: optimized geometry

Total magnetization = 0.000 μB/atom
E_tot = -5.88 eV/atom

Cell: 4.2196 4.5426 4.2196 Å, 90.00 90.00 90.00°
Atoms (fractional coordinates):
Ir 0.0000 0.5000 0.0000
Ni 0.5000 0.0000 0.0000
Ni 0.0000 0.0000 0.5000
P 0.0000 0.0000 0.0000
Sn 0.5000 0.5000 0.5000

=====

Material: Ti4CuRh5
Method: DFT, GGA-PBE
State: optimized geometry

Total magnetization = 0.000 μB/atom
E_tot = -7.93 eV/atom

Cell: 3.1589 3.1589 14.7154 Å, 90.00 90.00 90.00°
Atoms (fractional coordinates):
Ti 0.0000 0.0000 0.1863
Ti 0.0000 0.0000 0.8137
Ti 0.0000 0.0000 0.3971
Ti 0.0000 0.0000 0.6029
Cu 0.0000 0.0000 0.0000
Rh 0.5000 0.5000 0.9013
Rh 0.5000 0.5000 0.5000
Rh 0.5000 0.5000 0.2964
Rh 0.5000 0.5000 0.0987
Rh 0.5000 0.5000 0.7036

=====

Material: DyIrBr
Method: DFT, GGA-PBE
State: optimized geometry

Total magnetization = 0.000 μB/atom
E_tot = -6.30 eV/atom
E_form (uncorrected) = -1.252 eV per atom

Cell: 4.2743 4.2743 11.1218 Å, 78.92 78.92 60.00°
Atoms (fractional coordinates):
Br 0.7224 0.7224 0.8328
Br 0.2776 0.2776 0.1672
Ir 0.8350 0.8350 0.4950
Ir 0.1650 0.1650 0.5050
Dy 0.5559 0.5559 0.3324
Dy 0.4441 0.4441 0.6676

=====

Material: BeNbTe2H
Method: DFT, GGA-PBE
State: optimized geometry

Total magnetization = 0.204 μB/atom
E_tot = -3.87 eV/atom

Cell: 5.3382 4.7989 5.3382 Å, 90.00 90.00 90.00°
Atoms (fractional coordinates):
Te 0.5000 0.0000 0.0000
Te 0.0000 0.0000 0.5000
Be 0.0000 0.5000 0.0000
Nb 0.0000 0.0000 0.0000
H 0.5000 0.5000 0.5000

=====

Material: CdIn2F6
Method: DFT, GGA-PBE
State: optimized geometry

Total magnetization = 0.000 μB/atom
E_tot = -4.08 eV/atom
E_form (uncorrected) = -2.118 eV per atom

Cell: 3.7677 7.4320 7.2309 Å, 132.59 90.00 104.68°
Atoms (fractional coordinates):
F 0.6245 0.2490 0.6251
F 0.0006 0.0012 0.8213
F 0.3172 0.6344 0.8886
F 0.6828 0.3656 0.1114
F 0.3755 0.7510 0.3749
F 0.9994 0.9988 0.1787
In 0.1841 0.3682 0.2561
In 0.8159 0.6318 0.7439
Cd 0.0000 0.0000 0.5000

=====

Material: PmHo2Tm
Method: DFT, GGA-PBE
State: optimized geometry

Total magnetization = 0.000 μB/atom
E_tot = -4.58 eV/atom

Cell: 3.6277 6.7043 6.7044 Å, 55.52 74.30 74.30°
Atoms (fractional coordinates):
Pm 0.2500 0.1692 0.3308
Ho 0.0017 0.0804 0.9152
Ho 0.4983 0.5848 0.4196
Tm 0.7500 0.6656 0.8344

=====

Material: YZrV
Method: DFT, GGA-PBE
State: optimized geometry

Total magnetization = 0.000 μB/atom
E_tot = -7.86 eV/atom

Cell: 7.0939 3.4479 11.7279 Å, 90.00 107.15 90.00°
Atoms (fractional coordinates):
Zr 0.1424 0.0000 0.1987
Zr 0.8576 0.5000 0.3013
Zr 0.1424 0.5000 0.6987
Zr 0.8576 0.0000 0.8013
V 0.5439 0.5000 0.6871
V 0.5439 0.0000 0.1871
V 0.4561 0.0000 0.8129
V 0.4561 0.5000 0.3129
Y 0.2578 0.0000 0.4944
Y 0.2578 0.5000 0.9944
Y 0.7422 0.0000 0.5056
Y 0.7422 0.5000 0.0056

=====

Material: ZrScCl2
Method: DFT, GGA-PBE
State: optimized geometry

Total magnetization = 0.035 μB/atom
E_tot = -5.79 eV/atom
E_form (uncorrected) = -1.144 eV per atom

Cell: 3.2537 3.2537 8.9897 Å, 90.00 90.00 90.00°
Atoms (fractional coordinates):
Cl 0.5000 0.5000 0.3278
Cl 0.0000 0.0000 0.9256
Zr 0.5000 0.5000 0.7545
Sc 0.0000 0.0000 0.4922

=====

Material: Li2ScHg6
Method: DFT, GGA-PBE
State: optimized geometry

Total magnetization = 0.000 μB/atom
E_tot = -1.57 eV/atom

Cell: 5.1766 8.8736 8.8736 Å, 75.44 82.79 82.79°
Atoms (fractional coordinates):
Hg 0.6519 0.1020 0.3529
Hg 0.5219 0.3180 0.5657
Hg 0.8481 0.6471 0.8980
Hg 0.0219 0.5657 0.3180
Hg 0.1955 0.9881 0.2385
Hg 0.6955 0.2385 0.9881
Hg 0.8045 0.0119 0.7615
Hg 0.1519 0.3529 0.1020
Hg 0.4781 0.6820 0.4343
Hg 0.9781 0.4343 0.6820
Hg 0.3481 0.8980 0.6471
Hg 0.3045 0.7615 0.0119
Li 0.9150 0.7882 0.5377
Li 0.0850 0.2118 0.4623
Li 0.4150 0.5377 0.7882
Li 0.5850 0.4623 0.2118
Sc 0.7500 0.8761 0.1239
Sc 0.2500 0.1239 0.8761

=====

Material: Y6Tl2Pt
Method: DFT, GGA-PBE
State: optimized geometry

Total magnetization = 0.257 μB/atom
E_tot = -6.01 eV/atom

Cell: 3.8906 8.7043 8.7027 Å, 120.01 90.00 90.00°
Atoms (fractional coordinates):
Pt 0.5000 0.0002 0.0000
Y 0.5000 0.3972 0.3972
Y 0.5000 0.6027 0.0000
Y 0.0000 0.7552 0.7553
Y 0.0000 0.9999 0.2447
Y 0.5000 0.0000 0.6028
Y 0.0000 0.2449 0.0000
Tl 0.0000 0.6667 0.3334
Tl 0.0000 0.3333 0.6666

=====

Material: RbSr2MgCu
Method: DFT, GGA-PBE
State: optimized geometry

Total magnetization = 0.000 μB/atom
E_tot = -1.90 eV/atom

Cell: 6.2083 6.2083 5.3298 Å, 90.00 90.00 90.00°
Atoms (fractional coordinates):
Sr 0.0000 0.5000 0.0000
Sr 0.5000 0.0000 0.0000
Cu 0.0000 0.0000 0.0000
Rb 0.5000 0.5000 0.5000
Mg 0.0000 0.0000 0.5000

=====

Material: NpNbH2
Method: DFT, GGA-PBE
State: optimized geometry

Total magnetization = 0.810 μB/atom
E_tot = -7.49 eV/atom

Cell: 2.9592 2.9592 6.5052 Å, 76.85 76.85 60.00°
Atoms (fractional coordinates):
H 0.1170 0.1170 0.6490
H 0.8830 0.8830 0.3510
Np 0.0000 0.0000 0.0000
Nb 0.5000 0.5000 0.5000

=====

Material: K3AcNd2Te6
Method: DFT, GGA-PBE
State: optimized geometry

Total magnetization = 0.000 μB/atom
E_tot = -4.42 eV/atom
E_form (uncorrected) = -1.441 eV per atom

Cell: 8.1354 8.1354 8.7029 Å, 98.98 98.98 120.01°
Atoms (fractional coordinates):
Nd 0.3331 0.6669 0.0000
Nd 0.6669 0.3331 0.0000
K 0.1647 0.8353 0.5000
K 0.8353 0.1647 0.5000
K 0.5000 0.5000 0.5000
Te 0.7283 0.7283 0.2171
Te 0.5834 0.9274 0.7827
Te 0.0726 0.4166 0.2173
Te 0.4166 0.0726 0.2173
Te 0.2717 0.2717 0.7829
Te 0.9274 0.5834 0.7827
Ac 0.0000 0.0000 0.0000

=====

Material: SmEr2Ru3
Method: DFT, GGA-PBE
State: optimized geometry

Total magnetization = 0.000 μB/atom
E_tot = -7.25 eV/atom

Cell: 3.4136 4.7987 7.6041 Å, 108.39 90.00 90.00°
Atoms (fractional coordinates):
Ru 0.5000 0.1692 0.3384
Ru 0.5000 0.8308 0.6616
Ru 0.5000 0.5000 0.0000
Er 0.0000 0.3317 0.6633
Er 0.0000 0.6683 0.3367
Sm 0.0000 0.0000 0.0000

=====

Material: BaLi3Pb
Method: DFT, GGA-PBE
State: optimized geometry

Total magnetization = 0.000 μB/atom
E_tot = -2.52 eV/atom

Cell: 5.1861 5.1862 6.4402 Å, 66.43 66.45 90.03°
Atoms (fractional coordinates):
Ba 0.4050 0.2084 0.8953
Li 0.7805 0.5843 0.1431
Li 0.6390 0.9420 0.4274
Li 0.1392 0.4431 0.4264
Pb 0.0440 0.8474 0.6189

=====

Material: Pm4SiSeS2
Method: DFT, GGA-PBE
State: optimized geometry

Total magnetization = 0.000 μB/atom
E_tot = -6.22 eV/atom
E_form (uncorrected) = -1.696 eV per atom

Cell: 4.1337 7.1225 7.2219 Å, 70.53 90.00 90.00°
Atoms (fractional coordinates):
Pm 0.5000 0.2487 0.7437
Pm 0.0000 0.7569 0.7371
Pm 0.5000 0.7513 0.2563
Pm 0.0000 0.2432 0.2629
S 0.5000 0.0000 0.5000
S 0.0000 0.0000 0.0000
Si 0.0000 0.5000 0.5000
Se 0.5000 0.5000 0.0000

=====

Material: ZrTcGe
Method: DFT, GGA-PBE
State: optimized geometry

Total magnetization = 0.000 μB/atom
E_tot = -8.55 eV/atom

Cell: 7.1090 6.9687 7.9168 Å, 116.11 116.68 90.00°
Atoms (fractional coordinates):
Zr 0.1556 0.9512 0.4024
Zr 0.1555 0.4512 0.4023
Zr 0.7532 0.5488 0.5977
Zr 0.7532 0.0488 0.5976
Zr 0.3511 0.2500 0.0000
Zr 0.3511 0.7500 0.0000
Tc 0.0092 0.5000 0.0000
Tc 0.4975 0.3721 0.7442
Tc 0.7533 0.1279 0.2558
Tc 0.4975 0.8721 0.7442
Tc 0.7533 0.6279 0.2558
Tc 0.0092 0.0000 0.0000
Ge 0.0866 0.8333 0.6667
Ge 0.0866 0.3334 0.6667
Ge 0.7534 0.7500 0.0001
Ge 0.4199 0.1667 0.3333
Ge 0.4199 0.6666 0.3333
Ge 0.7534 0.2500 0.9999

=====

Material: CeCdNi2As2
Method: DFT, GGA-PBE
State: optimized geometry

Total magnetization = 0.034 μB/atom
E_tot = -5.21 eV/atom

Cell: 4.1041 4.1041 7.3397 Å, 90.00 90.00 120.00°
Atoms (fractional coordinates):
Ni 0.3333 0.6667 0.7085
Ni 0.6667 0.3333 0.2915
As 0.3333 0.6667 0.2418
As 0.6667 0.3333 0.7582
Ce 0.0000 0.0000 0.0000
Cd 0.0000 0.0000 0.5000

=====

Material: Sc3As2
Method: DFT, GGA-PBE
State: optimized geometry

Total magnetization = 0.003 μB/atom
E_tot = -6.79 eV/atom

Cell: 10.3738 10.3738 3.8586 Å, 90.00 90.00 90.00°
Atoms (fractional coordinates):
Sc 0.5000 0.0000 0.5000
Sc 0.0000 0.0000 0.0000
Sc 0.8095 0.8621 0.5000
Sc 0.0000 0.5000 0.5000
Sc 0.8621 0.1905 0.5000
Sc 0.2810 0.3954 0.0000
Sc 0.7190 0.6046 0.0000
Sc 0.1379 0.8095 0.5000
Sc 0.1905 0.1379 0.5000
Sc 0.5000 0.5000 0.5000
Sc 0.3954 0.7190 0.0000
Sc 0.6046 0.2810 0.0000
As 0.4181 0.2534 0.5000
As 0.2534 0.5819 0.5000
As 0.7466 0.4181 0.5000
As 0.7228 0.0461 0.0000
As 0.0461 0.2772 0.0000
As 0.2772 0.9539 0.0000
As 0.9539 0.7228 0.0000
As 0.5819 0.7466 0.5000

=====

Material: AlFe2As
Method: DFT, GGA-PBE
State: optimized geometry

Total magnetization = 0.799 μB/atom
E_tot = -6.31 eV/atom

Cell: 7.8286 7.8286 7.8286 Å, 20.77 20.77 20.77°
Atoms (fractional coordinates):
Fe 0.4965 0.4965 0.4965
Fe 0.0035 0.0035 0.0035
Al 0.2500 0.2500 0.2500
As 0.7500 0.7500 0.7500